Computed, not measured: a relaxed SiTcBr2 crystal at the PBE-GGA level of DFT.

Cell lengths 3.3468, 3.3468, 9.5445 Å; angles 90.00, 90.00, 122.65 degrees
Closest atoms and distances in Å follow each position.
Sites, in units of the cell vectors:
Tc 0.5000 0.5000 0.7171  2 Si 2.39, 2 Br 2.58
Br 0.0000 0.0000 0.9293  2 Tc 2.58
Br 0.5000 0.5000 0.3216  2 Si 2.57
Si 0.0000 0.0000 0.5320  2 Tc 2.39, 2 Br 2.57

Raw formation energy = 367 meV per atom
Space group = Cmm2 (35)
Excess energy over the best structure of this formula in the dataset = 623 meV/atom
Crystal system = orthorhombic

---

Computed, not measured: a relaxed SiTcBr2 crystal at the PBE-GGA level of DFT.

Cell lengths 3.2528, 3.4536, 9.3382 Å; angles 97.25, 90.41, 118.09 degrees
Closest atoms and distances in Å follow each position.
Sites, in units of the cell vectors:
Br 0.4745 0.1201 0.2965  1 Si 2.21
Br 0.2388 0.6749 0.6934  2 Tc 2.57
Tc 0.6886 0.5661 0.8977  3 Si 2.43-2.46, 2 Br 2.57
Si 0.4106 0.0037 0.0577  1 Br 2.21, 3 Tc 2.43-2.46

Raw formation energy = -117 meV per atom
Space group = P1 (1)
Excess energy over the best structure of this formula in the dataset = 139 meV/atom
Crystal system = triclinic

---

Computed, not measured: a relaxed SiTcBr crystal at the PBE-GGA level of DFT.

Cell lengths 3.2703, 3.2703, 5.7840 Å; angles 90.00, 90.00, 120.00 degrees
Closest atoms and distances in Å follow each position.
Sites, in units of the cell vectors:
Tc 0.3333 0.6667 0.6311  3 Si 2.38
Br 0.0000 0.0000 0.9886  3 Tc 2.80, 3 Si 2.95
Si 0.6667 0.3333 0.3803  3 Tc 2.38

Raw formation energy = 287 meV per atom
Space group = P3m1 (156)
Excess energy over the best structure of this formula in the dataset = 103 meV/atom
Crystal system = trigonal

---

For the records above, the corresponding calculated volume values read 90 92 54 Å³/f.u..